# KSc2Au

A relaxed KSc2Au crystal (PBEsol, Alexandria via LeMat-Bulk).

Cell and atoms, written as POSCAR:
```
KSc2Au
1.0
-2.132 2.132 5.072
2.132 -2.132 5.072
2.132 2.132 -5.072
K Sc Au
1 2 1
Direct
0.000 0.000 0.000 K
0.500 0.500 0.000 Sc
0.750 0.250 0.500 Sc
0.250 0.750 0.500 Au
```

Properties
Its relative energy among the computed polymorphs is 0.426 eV/atom. The formation energy is 0.3403 eV/atom. Its space group is I-4m2.


# MnFeSi2

A relaxed MnFeSi2 crystal (PBEsol, Alexandria via LeMat-Bulk).

Cell and atoms, written as POSCAR:
```
MnFeSi2
1.0
4.430 0.000 0.000
0.000 4.426 0.000
-0.019 0.000 4.431
Mn Fe Si
2 2 4
Direct
0.135 0.000 0.110 Mn
0.865 0.500 0.890 Mn
0.360 0.725 0.613 Fe
0.640 0.225 0.387 Fe
0.160 0.207 0.593 Si
0.348 0.519 0.094 Si
0.652 0.019 0.906 Si
0.840 0.707 0.407 Si
```

Properties
Its uncorrected formation energy is -0.575 eV/atom. Its space group is P2_1.


# RbLiTa2Hg

A relaxed RbLiTa2Hg crystal (PBEsol, Alexandria via LeMat-Bulk).

Cell and atoms, written as POSCAR:
```
RbLiTa2Hg
1.0
5.140 0.000 0.000
0.000 5.140 0.000
0.000 0.000 6.312
Rb Li Ta Hg
1 1 2 1
Direct
0.000 0.000 0.000 Rb
0.500 0.500 0.000 Li
0.000 0.500 0.500 Ta
0.500 0.000 0.500 Ta
0.000 0.000 0.500 Hg
```

Properties
The formation energy is 1.8524 eV/atom. Its space group is P4/mmm.


# Rb3CdAs

A relaxed Rb3CdAs crystal (PBEsol, Alexandria via LeMat-Bulk).

Cell and atoms, written as POSCAR:
```
Rb3CdAs
1.0
6.403 0.000 0.000
0.000 6.403 0.000
0.000 0.000 6.403
Rb Cd As
3 1 1
Direct
0.000 0.000 0.500 Rb
0.000 0.500 0.000 Rb
0.500 0.000 0.000 Rb
0.000 0.000 0.000 Cd
0.500 0.500 0.500 As
```

Properties
The formation energy is 0.4157 eV/atom. Its space group is Pm-3m.


# TbSmO3

A relaxed TbSmO3 crystal (PBEsol, Alexandria via LeMat-Bulk).

Cell and atoms, written as POSCAR:
```
TbSmO3
1.0
5.975 0.000 0.000
0.000 8.470 0.000
0.000 0.000 5.717
Tb Sm O
4 4 12
Direct
0.000 0.000 0.000 Tb
0.000 0.500 0.000 Tb
0.500 0.000 0.500 Tb
0.500 0.500 0.500 Tb
0.055 0.250 0.477 Sm
0.445 0.750 0.977 Sm
0.555 0.250 0.023 Sm
0.945 0.750 0.523 Sm
0.075 0.750 0.148 O
0.194 0.581 0.691 O
0.194 0.919 0.691 O
0.306 0.081 0.191 O
0.306 0.419 0.191 O
0.425 0.250 0.648 O
0.575 0.750 0.352 O
0.694 0.581 0.809 O
0.694 0.919 0.809 O
0.806 0.081 0.309 O
0.806 0.419 0.309 O
0.925 0.250 0.852 O
```

Properties
Its uncorrected formation energy is -3.464 eV/atom. Its space group is Pnma.


# ZnAgAu2

A relaxed ZnAgAu2 crystal (PBEsol, Alexandria via LeMat-Bulk).

Cell and atoms, written as POSCAR:
```
ZnAgAu2
1.0
2.905 0.000 0.000
0.000 3.907 0.000
0.000 0.000 5.672
Zn Ag Au
1 1 2
Direct
0.000 0.000 0.000 Zn
0.500 0.500 0.251 Ag
0.000 0.000 0.498 Au
0.500 0.500 0.770 Au
```

Properties
The formation energy is -0.1034 eV/atom. Its space group is Pmm2.


# Li2Fe3TeO8

A relaxed Li2Fe3TeO8 crystal (PBEsol, Alexandria via LeMat-Bulk).

Cell and atoms, written as POSCAR:
```
Li2Fe3TeO8
1.0
4.995 -2.933 0.000
4.995 2.933 0.000
-3.115 0.000 5.020
Li Fe Te O
2 3 1 8
Direct
0.138 0.138 0.405 Li
0.862 0.862 0.595 Li
0.000 0.500 0.000 Fe
0.500 0.000 0.000 Fe
0.500 0.500 0.000 Fe
0.500 0.500 0.500 Te
0.269 0.269 0.261 O
0.275 0.275 0.805 O
0.275 0.721 0.244 O
0.279 0.725 0.756 O
0.721 0.275 0.244 O
0.725 0.279 0.756 O
0.725 0.725 0.195 O
0.731 0.731 0.739 O
```

Properties
Its relative energy among the computed polymorphs is 0.018 eV/atom. Its uncorrected formation energy is -1.354 eV/atom. Its space group is C2/m.


# Hf3Cu4Si4

A relaxed Hf3Cu4Si4 crystal (PBEsol, Alexandria via LeMat-Bulk).

Cell and atoms, written as POSCAR:
```
Hf3Cu4Si4
1.0
-1.800 1.904 11.705
1.800 -1.904 11.705
1.800 1.904 -11.705
Hf Cu Si
3 4 4
Direct
0.000 0.000 0.000 Hf
0.355 0.855 0.500 Hf
0.645 0.145 0.500 Hf
0.095 0.595 0.500 Cu
0.252 0.252 0.000 Cu
0.748 0.748 0.000 Cu
0.905 0.405 0.500 Cu
0.189 0.689 0.500 Si
0.451 0.451 0.000 Si
0.549 0.549 0.000 Si
0.811 0.311 0.500 Si
```

Properties
Its uncorrected formation energy is -0.556 eV/atom. Its space group is Immm.


# Ca2GaPtI

A relaxed Ca2GaPtI crystal (PBEsol, Alexandria via LeMat-Bulk).

Cell and atoms, written as POSCAR:
```
Ca2GaPtI
1.0
5.695 0.000 0.000
0.000 5.695 0.000
0.000 0.000 4.977
Ca Ga Pt I
2 1 1 1
Direct
0.000 0.500 0.000 Ca
0.500 0.000 0.000 Ca
0.000 0.000 0.500 Ga
0.500 0.500 0.500 Pt
0.500 0.500 0.000 I
```

Properties
Its uncorrected formation energy is 0.153 eV/atom. Its space group is P4/mmm.


# BaYPb2

A relaxed BaYPb2 crystal (PBEsol, Alexandria via LeMat-Bulk).

Cell and atoms, written as POSCAR:
```
BaYPb2
1.0
4.096 0.000 0.000
0.000 4.096 0.000
0.000 0.000 7.611
Ba Y Pb
1 1 2
Direct
0.000 0.000 0.000 Ba
0.000 0.000 0.500 Y
0.500 0.500 0.294 Pb
0.500 0.500 0.706 Pb
```

Properties
The formation energy is -0.5380 eV/atom. Its space group is P4/mmm.


# TlAgHg2

A relaxed TlAgHg2 crystal (PBEsol, Alexandria via LeMat-Bulk).

Cell and atoms, written as POSCAR:
```
TlAgHg2
1.0
4.772 -1.640 0.000
4.772 1.640 0.000
-1.218 0.000 5.761
Tl Ag Hg
1 1 2
Direct
0.000 0.000 0.000 Tl
0.500 0.500 0.500 Ag
0.240 0.240 0.721 Hg
0.760 0.760 0.279 Hg
```

Properties
The formation energy is 0.0533 eV/atom. Its space group is C2/m.


# CuAu2Cl

A relaxed CuAu2Cl crystal (PBEsol, Alexandria via LeMat-Bulk).

Cell and atoms, written as POSCAR:
```
CuAu2Cl
1.0
2.978 0.000 0.000
0.000 2.978 0.000
0.000 0.000 7.431
Cu Au Cl
1 2 1
Direct
0.000 0.000 0.000 Cu
0.000 0.000 0.484 Au
0.500 0.500 0.228 Au
0.500 0.500 0.810 Cl
```

Properties
Its relative energy among the computed polymorphs is 0.000 eV/atom. Its uncorrected formation energy is 0.087 eV/atom. Its space group is P4mm.


# InBiMoBr2

A relaxed InBiMoBr2 crystal (PBEsol, Alexandria via LeMat-Bulk).

Cell and atoms, written as POSCAR:
```
InBiMoBr2
1.0
5.614 0.000 0.000
0.000 5.614 0.000
0.000 0.000 6.055
In Bi Mo Br
1 1 1 2
Direct
0.000 0.000 0.000 In
0.000 0.000 0.500 Bi
0.500 0.500 0.000 Mo
0.000 0.500 0.500 Br
0.500 0.000 0.500 Br
```

Properties
Its uncorrected formation energy is 1.071 eV/atom. Its space group is P4/mmm.


# Y3Se

A relaxed Y3Se crystal (PBEsol, Alexandria via LeMat-Bulk).

Cell and atoms, written as POSCAR:
```
Y3Se
1.0
1.860 1.074 9.399
-1.860 1.074 9.399
0.000 -2.148 9.399
Y Se
3 1
Direct
0.000 0.000 0.000 Y
0.232 0.232 0.232 Y
0.768 0.768 0.768 Y
0.500 0.500 0.500 Se
```

Properties
Its relative energy among the computed polymorphs is 0.000 eV/atom. Its uncorrected formation energy is -0.853 eV/atom. Its space group is R-3m.


# K2AsAuCl6

A relaxed K2AsAuCl6 crystal (PBEsol, Alexandria via LeMat-Bulk).

Cell and atoms, written as POSCAR:
```
K2AsAuCl6
1.0
0.000 5.075 5.075
5.075 0.000 5.075
5.075 5.075 0.000
K As Au Cl
2 1 1 6
Direct
0.250 0.250 0.250 K
0.750 0.750 0.750 K
0.000 0.000 0.000 As
0.500 0.500 0.500 Au
0.245 0.245 0.755 Cl
0.245 0.755 0.245 Cl
0.245 0.755 0.755 Cl
0.755 0.245 0.245 Cl
0.755 0.245 0.755 Cl
0.755 0.755 0.245 Cl
```

Properties
Its uncorrected formation energy is -1.029 eV/atom. Its space group is Fm-3m.


# KMg2Mn

A relaxed KMg2Mn crystal (PBEsol, Alexandria via LeMat-Bulk).

Cell and atoms, written as POSCAR:
```
KMg2Mn
1.0
4.681 -1.527 0.000
4.681 1.527 0.000
-0.619 0.000 7.723
K Mg Mn
1 2 1
Direct
0.000 0.000 0.000 K
0.232 0.232 0.667 Mg
0.768 0.768 0.333 Mg
0.500 0.500 0.500 Mn
```

Properties
Its relative energy among the computed polymorphs is 0.140 eV/atom. The formation energy is 0.5737 eV/atom. Its space group is C2/m.


# CsCd3Pd

A relaxed CsCd3Pd crystal (PBEsol, Alexandria via LeMat-Bulk).

Cell and atoms, written as POSCAR:
```
CsCd3Pd
1.0
5.276 0.000 0.000
0.000 5.276 0.000
0.000 0.000 5.276
Cs Cd Pd
1 3 1
Direct
0.000 0.000 0.000 Cs
0.000 0.500 0.500 Cd
0.500 0.000 0.500 Cd
0.500 0.500 0.000 Cd
0.500 0.500 0.500 Pd
```

Properties
The formation energy is -0.1217 eV/atom. Its space group is Pm-3m.


# CdIr2W

A relaxed CdIr2W crystal (PBEsol, Alexandria via LeMat-Bulk).

Cell and atoms, written as POSCAR:
```
CdIr2W
1.0
-1.918 1.918 4.177
1.918 -1.918 4.177
1.918 1.918 -4.177
Cd Ir W
1 2 1
Direct
0.000 0.000 0.000 Cd
0.500 0.500 0.000 Ir
0.750 0.250 0.500 Ir
0.250 0.750 0.500 W
```

Properties
The formation energy is 0.2449 eV/atom. Its space group is I-4m2.


# Y3SbH

A relaxed Y3SbH crystal (PBEsol, Alexandria via LeMat-Bulk).

Cell and atoms, written as POSCAR:
```
Y3SbH
1.0
4.717 0.000 0.000
0.000 4.717 0.000
0.000 0.000 4.717
Y Sb H
3 1 1
Direct
0.000 0.000 0.500 Y
0.000 0.500 0.000 Y
0.500 0.000 0.000 Y
0.500 0.500 0.500 Sb
0.000 0.000 0.000 H
```

Properties
Its relative energy among the computed polymorphs is 0.000 eV/atom. Its space group is Pm-3m.


# Sr2AgMoS

A relaxed Sr2AgMoS crystal (PBEsol, Alexandria via LeMat-Bulk).

Cell and atoms, written as POSCAR:
```
Sr2AgMoS
1.0
5.845 0.000 0.000
0.000 5.845 0.000
0.000 0.000 4.883
Sr Ag Mo S
2 1 1 1
Direct
0.000 0.500 0.000 Sr
0.500 0.000 0.000 Sr
0.000 0.000 0.000 Ag
0.000 0.000 0.500 Mo
0.500 0.500 0.500 S
```

Properties
Its uncorrected formation energy is 0.631 eV/atom. Its space group is P4/mmm.


# CrCu2Rh

A relaxed CrCu2Rh crystal (PBEsol, Alexandria via LeMat-Bulk).

Cell and atoms, written as POSCAR:
```
CrCu2Rh
1.0
1.277 0.737 8.497
-1.277 0.737 8.497
0.000 -1.474 8.497
Cr Cu Rh
1 2 1
Direct
0.000 0.000 0.000 Cr
0.252 0.252 0.252 Cu
0.748 0.748 0.748 Cu
0.500 0.500 0.500 Rh
```

Properties
The formation energy is 0.2349 eV/atom. Its space group is R-3m.


# LaGa3Co

A relaxed LaGa3Co crystal (PBEsol, Alexandria via LeMat-Bulk).

Cell and atoms, written as POSCAR:
```
LaGa3Co
1.0
4.538 0.000 0.000
0.000 4.538 0.000
0.000 0.000 4.538
La Ga Co
1 3 1
Direct
0.000 0.000 0.000 La
0.000 0.500 0.500 Ga
0.500 0.000 0.500 Ga
0.500 0.500 0.000 Ga
0.500 0.500 0.500 Co
```

Properties
The formation energy is -0.4920 eV/atom. Its space group is Pm-3m.


# LiNiBr

A relaxed LiNiBr crystal (PBEsol, Alexandria via LeMat-Bulk).

Cell and atoms, written as POSCAR:
```
LiNiBr
1.0
0.000 2.377 3.811
2.357 0.000 3.811
2.357 2.377 0.000
Li Ni Br
1 1 1
Direct
0.000 0.000 0.000 Li
0.355 0.355 0.645 Ni
0.658 0.658 0.342 Br
```

Properties
Its relative energy among the computed polymorphs is 0.146 eV/atom. Its uncorrected formation energy is -0.081 eV/atom. Its space group is Fmm2.


# MgSc5

A relaxed MgSc5 crystal (PBEsol, Alexandria via LeMat-Bulk).

Cell and atoms, written as POSCAR:
```
MgSc5
1.0
3.231 0.000 0.000
0.000 3.231 0.000
0.000 0.000 13.443
Mg Sc
1 5
Direct
0.000 0.000 0.000 Mg
0.000 0.000 0.332 Sc
0.000 0.000 0.668 Sc
0.500 0.500 0.167 Sc
0.500 0.500 0.500 Sc
0.500 0.500 0.833 Sc
```

Properties
Its relative energy among the computed polymorphs is 0.002 eV/atom. The formation energy is 0.0111 eV/atom. Its space group is P4/mmm.


# LiPt4Pb

A relaxed LiPt4Pb crystal (PBEsol, Alexandria via LeMat-Bulk).

Cell and atoms, written as POSCAR:
```
LiPt4Pb
1.0
0.000 3.754 3.754
3.754 0.000 3.754
3.754 3.754 0.000
Li Pt Pb
1 4 1
Direct
0.000 0.000 0.000 Li
0.375 0.375 0.375 Pt
0.375 0.375 0.876 Pt
0.375 0.876 0.375 Pt
0.876 0.375 0.375 Pt
0.750 0.750 0.750 Pb
```

Properties
The formation energy is -0.2783 eV/atom. Its space group is F-43m.


# LiMoF2

A relaxed LiMoF2 crystal (PBEsol, Alexandria via LeMat-Bulk).

Cell and atoms, written as POSCAR:
```
LiMoF2
1.0
1.343 0.775 7.315
-1.343 0.775 7.315
0.000 -1.551 7.315
Li Mo F
1 1 2
Direct
0.000 0.000 0.000 Li
0.500 0.500 0.500 Mo
0.076 0.076 0.076 F
0.924 0.924 0.924 F
```

Properties
Its uncorrected formation energy is -1.220 eV/atom. Its space group is R-3m.


# Hg2PBr

A relaxed Hg2PBr crystal (PBEsol, Alexandria via LeMat-Bulk).

Cell and atoms, written as POSCAR:
```
Hg2PBr
1.0
4.467 0.000 0.000
0.000 4.466 0.000
-0.009 0.000 5.798
Hg P Br
2 1 1
Direct
0.000 0.000 0.000 Hg
0.499 0.500 0.658 Hg
0.999 0.500 0.829 P
0.501 0.000 0.329 Br
```

Properties
Its relative energy among the computed polymorphs is 0.016 eV/atom. Its uncorrected formation energy is -0.110 eV/atom. Its space group is Pm.